# ErTm2N3 PBE relaxed
data_ErTm2N3
_chemical_formula_sum 'Er4 Tm8 N12'
_symmetry_space_group_name_H-M 'P 1'
_symmetry_Int_Tables_number 1
_symmetry_space_group_name_Hall 'P 1'
_cell_length_a 4.823
_cell_length_b 6.823
_cell_length_c 10.236
_cell_angle_alpha 90.00
_cell_angle_beta 90.00
_cell_angle_gamma 90.00
loop_
_atom_site_label
_atom_site_type_symbol
_atom_site_fract_x
_atom_site_fract_y
_atom_site_fract_z
N1 N 0.750 0.375 0.750
N2 N 0.750 0.876 0.416
N3 N 0.750 0.875 0.750
N4 N 0.250 0.626 0.584
N5 N 0.250 0.625 0.250
N6 N 0.250 0.126 0.916
N7 N 0.250 0.124 0.584
N8 N 0.750 0.374 0.416
N9 N 0.250 0.125 0.250
N10 N 0.250 0.624 0.916
N11 N 0.750 0.874 0.084
N12 N 0.750 0.376 0.084
Er1 Er 0.750 0.125 0.917
Er2 Er 0.250 0.875 0.083
Er3 Er 0.750 0.625 0.583
Er4 Er 0.250 0.375 0.417
Tm1 Tm 0.250 0.375 0.750
Tm2 Tm 0.250 0.375 0.083
Tm3 Tm 0.250 0.875 0.750
Tm4 Tm 0.750 0.625 0.917
Tm5 Tm 0.750 0.625 0.250
Tm6 Tm 0.250 0.875 0.417
Tm7 Tm 0.750 0.125 0.583
Tm8 Tm 0.750 0.125 0.250
# Symmetry ... Pnma (62)
# Formation energy without anion corrections ... -1.81 eV per atom
# Crystal system ... orthorhombic


# DyYCuSi PBE relaxed
data_DyYCuSi
_chemical_formula_sum 'Dy1 Y1 Cu1 Si1'
_symmetry_space_group_name_H-M 'P 1'
_symmetry_Int_Tables_number 1
_symmetry_space_group_name_Hall 'P 1'
_cell_length_a 4.070
_cell_length_b 4.093
_cell_length_c 5.708
_cell_angle_alpha 90.00
_cell_angle_beta 110.89
_cell_angle_gamma 90.00
loop_
_atom_site_label
_atom_site_type_symbol
_atom_site_fract_x
_atom_site_fract_y
_atom_site_fract_z
Y1 Y 0.142 0.000 0.284
Cu1 Cu 0.567 0.500 0.134
Dy1 Dy 0.862 0.500 0.724
Si1 Si 0.429 0.000 0.858
# Symmetry ... Amm2 (38)
# Formation energy without anion corrections ... -0.54 eV per atom
# Crystal system ... orthorhombic


# BaCaZr2Se PBE relaxed
data_BaCaZr2Se
_chemical_formula_sum 'Ba1 Ca1 Zr2 Se1'
_symmetry_space_group_name_H-M 'P 1'
_symmetry_Int_Tables_number 1
_symmetry_space_group_name_Hall 'P 1'
_cell_length_a 5.402
_cell_length_b 6.066
_cell_length_c 5.402
_cell_angle_alpha 90.00
_cell_angle_beta 90.00
_cell_angle_gamma 90.00
loop_
_atom_site_label
_atom_site_type_symbol
_atom_site_fract_x
_atom_site_fract_y
_atom_site_fract_z
Ba1 Ba 0.000 0.000 0.000
Zr1 Zr 0.000 0.000 0.500
Zr2 Zr 0.500 0.000 0.000
Ca1 Ca 0.500 0.500 0.500
Se1 Se 0.000 0.500 0.000
# Symmetry ... P4/mmm (123)
# Formation energy without anion corrections ... 1.11 eV per atom
# Crystal system ... tetragonal


# BaCd2Br6 PBE relaxed
data_BaCd2Br6
_chemical_formula_sum 'Ba2 Cd4 Br12'
_symmetry_space_group_name_H-M 'P 1'
_symmetry_Int_Tables_number 1
_symmetry_space_group_name_Hall 'P 1'
_cell_length_a 7.693
_cell_length_b 9.967
_cell_length_c 9.967
_cell_angle_alpha 84.14
_cell_angle_beta 79.07
_cell_angle_gamma 79.07
loop_
_atom_site_label
_atom_site_type_symbol
_atom_site_fract_x
_atom_site_fract_y
_atom_site_fract_z
Br1 Br 0.558 0.267 0.447
Br2 Br 0.845 0.184 0.049
Br3 Br 0.345 0.049 0.184
Br4 Br 0.155 0.816 0.951
Br5 Br 0.432 0.397 0.859
Br6 Br 0.442 0.733 0.553
Br7 Br 0.068 0.141 0.603
Br8 Br 0.568 0.603 0.141
Br9 Br 0.058 0.447 0.267
Br10 Br 0.655 0.951 0.816
Br11 Br 0.932 0.859 0.397
Br12 Br 0.942 0.553 0.733
Ba1 Ba 0.750 0.866 0.134
Ba2 Ba 0.250 0.134 0.866
Cd1 Cd 0.246 0.623 0.771
Cd2 Cd 0.746 0.771 0.623
Cd3 Cd 0.754 0.377 0.229
Cd4 Cd 0.254 0.229 0.377
# Symmetry ... C2/c (15)
# Formation energy without anion corrections ... -1.26 eV per atom
# Crystal system ... monoclinic


# PmNd5Tl4 PBE relaxed
data_PmNd5Tl4
_chemical_formula_sum 'Pm1 Nd5 Tl4'
_symmetry_space_group_name_H-M 'P 1'
_symmetry_Int_Tables_number 1
_symmetry_space_group_name_Hall 'P 1'
_cell_length_a 3.681
_cell_length_b 3.681
_cell_length_c 22.739
_cell_angle_alpha 90.00
_cell_angle_beta 90.00
_cell_angle_gamma 90.00
loop_
_atom_site_label
_atom_site_type_symbol
_atom_site_fract_x
_atom_site_fract_y
_atom_site_fract_z
Nd1 Nd 0.500 0.500 0.693
Nd2 Nd 0.500 0.500 0.115
Nd3 Nd 0.500 0.500 0.500
Nd4 Nd 0.500 0.500 0.307
Nd5 Nd 0.500 0.500 0.885
Tl1 Tl 0.000 0.000 0.790
Tl2 Tl 0.000 0.000 0.404
Tl3 Tl 0.000 0.000 0.596
Tl4 Tl 0.000 0.000 0.210
Pm1 Pm 0.000 0.000 0.000
# Symmetry ... P4/mmm (123)
# DFT total energy ... -41.03 eV per cell
# Crystal system ... tetragonal


# GaAg2Pd3 PBE relaxed
data_GaAg2Pd3
_chemical_formula_sum 'Ga2 Ag4 Pd6'
_symmetry_space_group_name_H-M 'P 1'
_symmetry_Int_Tables_number 1
_symmetry_space_group_name_Hall 'P 1'
_cell_length_a 4.234
_cell_length_b 6.702
_cell_length_c 7.120
_cell_angle_alpha 90.00
_cell_angle_beta 90.00
_cell_angle_gamma 71.59
loop_
_atom_site_label
_atom_site_type_symbol
_atom_site_fract_x
_atom_site_fract_y
_atom_site_fract_z
Ag1 Ag 0.667 0.667 0.500
Ag2 Ag 0.000 0.000 0.500
Ag3 Ag 0.000 0.000 0.000
Ag4 Ag 0.333 0.333 0.500
Pd1 Pd 0.500 0.000 0.239
Pd2 Pd 0.174 0.652 0.222
Pd3 Pd 0.174 0.652 0.778
Pd4 Pd 0.826 0.348 0.778
Pd5 Pd 0.826 0.348 0.222
Pd6 Pd 0.500 0.000 0.761
Ga1 Ga 0.342 0.315 0.000
Ga2 Ga 0.658 0.685 0.000
# Symmetry ... Cmmm (65)
# DFT total energy ... -52.41 eV per cell
# Crystal system ... orthorhombic


| no. | magnetization (μB per cell) |
| --- | --- |
| 1 | 0.0 |
| 2 | 0.0 |
| 3 | 0.0 |
| 4 | 0.0 |
| 5 | 0.0 |
| 6 | 0.0 |